The following is a PBE calculation of an optimized crystal structure of LiPu3Hg8, from Alexandria via LeMat-Bulk.

As for the symmetry: No. 121. The calculation puts the calculated volume at 334 Å³/f.u. The calculation puts the total energy at -46.55 eV per formula unit. The energy of formation is 65 meV/atom.

abc: 7.6594 7.6594 7.6594
angles: 116.00 116.00 97.08
Atoms (fractional coordinates):
Li (0.0000, 0.0000, 0.0000)
Pu (0.2500, 0.7500, 0.5000)
Pu (0.5000, 0.5000, 0.0000)
Pu (0.7500, 0.2500, 0.5000)
Hg (0.0854, 0.0854, 0.7415)
Hg (0.1785, 0.1785, 0.4567)
Hg (0.2782, 0.8215, 0.0000)
Hg (0.3439, 0.3439, 0.2585)
Hg (0.6561, 0.9146, 0.0000)
Hg (0.7218, 0.7218, 0.5433)
Hg (0.8215, 0.2782, 0.0000)
Hg (0.9146, 0.6561, 0.0000)

***

The following is a PBE calculation of an optimized crystal structure of LiPu2Hg6, from Alexandria via LeMat-Bulk.

As for the symmetry: No. 189. The calculation puts the calculated volume at 219 Å³/f.u. The calculation puts the total energy at -33.24 eV per formula unit. The energy above the most stable polymorph in this dataset is 0.83 eV/f.u. The energy of formation is -95 meV/atom.

abc: 8.8932 8.8932 3.2018
angles: 90.00 90.00 120.00
Atoms (fractional coordinates):
Li (0.0000, 0.0000, 0.0000)
Pu (0.3333, 0.6667, 0.5000)
Pu (0.6667, 0.3333, 0.5000)
Hg (0.0000, 0.2785, 0.5000)
Hg (0.0000, 0.6447, 0.0000)
Hg (0.2785, 0.0000, 0.5000)
Hg (0.3553, 0.3553, 0.0000)
Hg (0.6447, 0.0000, 0.0000)
Hg (0.7215, 0.7215, 0.5000)